Record 1
Entry from Alexandria via LeMat-Bulk: crystalline TiAgB3 at its relaxed geometry (GGA-PBE).

Results
Formation energy from the elements, eV/atom: 1.85
VASP energy, eV per atom: -4.308

a = 4.087 Å, b = 4.087 Å, c = 4.087 Å
α = 90.00°, β = 90.00°, γ = 90.00°
Space group Pm-3m (No. 221)
Inequivalent atoms, fractional coordinates:
Ti (0.000, 0.000, 0.000) (multiplicity 1)
Ag (0.500, 0.500, 0.500) (multiplicity 1)
B (0.000, 0.500, 0.500) (multiplicity 3)



Record 2
Entry from Alexandria via LeMat-Bulk: crystalline TiAgB2 at its relaxed geometry (GGA-PBE).

Results
Formation energy from the elements, eV/atom: 0.81
VASP energy, eV per atom: -5.220

a = 3.751 Å, b = 3.751 Å, c = 15.245 Å
α = 90.00°, β = 90.00°, γ = 90.00°
Space group I4_1/amd (No. 141, origin choice 2)
Inequivalent atoms, fractional coordinates:
Ti (0.000, 0.250, 0.375) (multiplicity 4)
Ag (0.000, 0.250, 0.875) (multiplicity 4)
B (0.000, 0.000, 0.000) (multiplicity 8)



Record 3
Entry from Alexandria via LeMat-Bulk: crystalline TiAgB at its relaxed geometry (GGA-PBE).

Results
Formation energy from the elements, eV/atom: 0.23
VASP energy, eV per atom: -5.580

a = 3.904 Å, b = 3.904 Å, c = 5.875 Å
α = 90.00°, β = 90.00°, γ = 90.00°
Space group P4/nmm (No. 129, origin choice 2)
Inequivalent atoms, fractional coordinates:
Ti (0.250, 0.250, 0.144) (multiplicity 2)
Ag (0.250, 0.250, 0.625) (multiplicity 2)
B (0.250, 0.750, 0.000) (multiplicity 2)



Record 4
Entry from Alexandria via LeMat-Bulk: crystalline TiVAgB2 at its relaxed geometry (GGA-PBE).

Results
Formation energy from the elements, eV/atom: 1.08
VASP energy, eV per atom: -5.560

a = 3.990 Å, b = 3.990 Å, c = 4.700 Å
α = 90.00°, β = 90.00°, γ = 90.00°
Space group P4/mmm (No. 123)
Inequivalent atoms, fractional coordinates:
Ti (0.000, 0.000, 0.000) (multiplicity 1)
V (0.500, 0.500, 0.500) (multiplicity 1)
Ag (0.500, 0.500, 0.000) (multiplicity 1)
B (0.000, 0.500, 0.500) (multiplicity 2)



Record 5
Entry from Alexandria via LeMat-Bulk: crystalline Tl3AgB at its relaxed geometry (GGA-PBE).

Results
Formation energy from the elements, eV/atom: 0.67
VASP energy, eV per atom: -2.651

a = 4.994 Å, b = 4.994 Å, c = 4.994 Å
α = 90.00°, β = 90.00°, γ = 90.00°
Space group Pm-3m (No. 221)
Inequivalent atoms, fractional coordinates:
Tl (0.000, 0.000, 0.500) (multiplicity 3)
Ag (0.500, 0.500, 0.500) (multiplicity 1)
B (0.000, 0.000, 0.000) (multiplicity 1)



Record 6
Entry from Alexandria via LeMat-Bulk: crystalline TlAg2B at its relaxed geometry (GGA-PBE).

Results
Formation energy from the elements, eV/atom: 1.03
VASP energy, eV per atom: -2.659

a = 6.657 Å, b = 6.657 Å, c = 6.657 Å
α = 90.00°, β = 90.00°, γ = 90.00°
Space group Fm-3m (No. 225)
Inequivalent atoms, fractional coordinates:
Tl (0.000, 0.000, 0.000) (multiplicity 4)
Ag (0.250, 0.250, 0.250) (multiplicity 8)
B (0.000, 0.000, 0.500) (multiplicity 4)



Record 7
Entry from Alexandria via LeMat-Bulk: crystalline TlAgB3 at its relaxed geometry (GGA-PBE).

Results
Formation energy from the elements, eV/atom: 2.53
VASP energy, eV per atom: -2.515

a = 4.581 Å, b = 4.581 Å, c = 4.581 Å
α = 90.00°, β = 90.00°, γ = 90.00°
Space group Pm-3m (No. 221)
Inequivalent atoms, fractional coordinates:
Tl (0.000, 0.000, 0.000) (multiplicity 1)
Ag (0.500, 0.500, 0.500) (multiplicity 1)
B (0.000, 0.000, 0.500) (multiplicity 3)



Record 8
Entry from Alexandria via LeMat-Bulk: crystalline TlAg2B at its relaxed geometry (GGA-PBE).

Results
Formation energy from the elements, eV/atom: 0.77
VASP energy, eV per atom: -2.913

a = 5.435 Å, b = 5.435 Å, c = 13.409 Å
α = 90.00°, β = 90.00°, γ = 90.00°
Space group I-42d (No. 122)
Inequivalent atoms, fractional coordinates:
Tl (0.000, 0.000, 0.000) (multiplicity 4)
Ag (0.001, 0.250, 0.625) (multiplicity 8)
B (0.000, 0.000, 0.500) (multiplicity 4)



Record 9
Entry from Alexandria via LeMat-Bulk: crystalline Tl3AgB at its relaxed geometry (GGA-PBE).

Results
Formation energy from the elements, eV/atom: 1.20
VASP energy, eV per atom: -2.126

a = 5.488 Å, b = 5.488 Å, c = 5.488 Å
α = 90.00°, β = 90.00°, γ = 90.00°
Space group Pm-3m (No. 221)
Inequivalent atoms, fractional coordinates:
Tl (0.000, 0.000, 0.500) (multiplicity 3)
Ag (0.000, 0.000, 0.000) (multiplicity 1)
B (0.500, 0.500, 0.500) (multiplicity 1)



Record 10
Entry from Alexandria via LeMat-Bulk: crystalline TlAgB3 at its relaxed geometry (GGA-PBE).

Results
Formation energy from the elements, eV/atom: 1.94
VASP energy, eV per atom: -3.109

a = 4.358 Å, b = 4.358 Å, c = 4.358 Å
α = 90.00°, β = 90.00°, γ = 90.00°
Space group Pm-3m (No. 221)
Inequivalent atoms, fractional coordinates:
Tl (0.000, 0.000, 0.000) (multiplicity 1)
Ag (0.500, 0.500, 0.500) (multiplicity 1)
B (0.000, 0.500, 0.500) (multiplicity 3)



Record 11
Entry from Alexandria via LeMat-Bulk: crystalline VAg2B at its relaxed geometry (GGA-PBE).

Results
Formation energy from the elements, eV/atom: 0.93
VASP energy, eV per atom: -4.449

a = 3.582 Å, b = 3.582 Å, c = 19.080 Å
α = 90.00°, β = 90.00°, γ = 90.00°
Space group I-42d (No. 122)
Inequivalent atoms, fractional coordinates:
V (0.000, 0.000, 0.000) (multiplicity 4)
Ag (0.244, 0.250, 0.625) (multiplicity 8)
B (0.000, 0.000, 0.500) (multiplicity 4)



Record 12
Entry from Alexandria via LeMat-Bulk: crystalline VAgB3 at its relaxed geometry (GGA-PBE).

Results
Formation energy from the elements, eV/atom: 2.14
VASP energy, eV per atom: -4.263

a = 4.096 Å, b = 4.096 Å, c = 4.096 Å
α = 90.00°, β = 90.00°, γ = 90.00°
Space group Pm-3m (No. 221)
Inequivalent atoms, fractional coordinates:
V (0.000, 0.000, 0.000) (multiplicity 1)
Ag (0.500, 0.500, 0.500) (multiplicity 1)
B (0.000, 0.500, 0.500) (multiplicity 3)



Record order is preserved below.
DOS(E_F): 3.3, 16.6, 1.9, 2.7, 1.4, 6.5, 5.4, 6.6, 3.4, 2.5, 12.1, 5.7 states/eV per cell